{"formula": "RbCuSnTe3", "functional": "PBE", "state": "relaxed", "vol_a3_per_cell": 819.13, "space_group": "No. 62", "relative_energy_ev_per_atom": 0.000, "cell": [[-6.563, -9.591, 11.896], [0.631, -3.500, -2.474], [10.314, -1.377, 4.580]], "species": ["Sn", "Sn", "Sn", "Sn", "Te", "Te", "Te", "Te", "Te", "Te", "Te", "Te", "Te", "Te", "Te", "Te", "Cu", "Cu", "Cu", "Cu", "Rb", "Rb", "Rb", "Rb"], "frac_coords": [[0.021, 0.250, 0.843], [0.479, 0.750, 0.343], [0.521, 0.250, 0.657], [0.979, 0.750, 0.157], [0.580, 0.750, 0.130], [0.420, 0.250, 0.870], [0.097, 0.250, 0.074], [0.597, 0.250, 0.426], [0.403, 0.750, 0.574], [0.621, 0.750, 0.765], [0.121, 0.750, 0.735], [0.903, 0.750, 0.926], [0.080, 0.750, 0.370], [0.879, 0.250, 0.265], [0.379, 0.250, 0.235], [0.920, 0.250, 0.630], [0.006, 0.750, 0.569], [0.994, 0.250, 0.431], [0.494, 0.250, 0.069], [0.506, 0.750, 0.931], [0.729, 0.250, 0.990], [0.229, 0.250, 0.510], [0.271, 0.750, 0.010], [0.771, 0.750, 0.490]]}


{"formula": "RbCuSnTe3", "functional": "PBE", "state": "relaxed", "vol_a3_per_cell": 774.24, "space_group": "No. 62", "relative_energy_ev_per_atom": 0.054, "cell": [[10.625, 0.000, 0.000], [0.000, 4.331, 0.000], [0.000, 0.000, 16.825]], "species": ["Cu", "Cu", "Cu", "Cu", "Te", "Te", "Te", "Te", "Te", "Te", "Te", "Te", "Te", "Te", "Te", "Te", "Sn", "Sn", "Sn", "Sn", "Rb", "Rb", "Rb", "Rb"], "frac_coords": [[0.313, 0.250, 0.870], [0.813, 0.250, 0.630], [0.187, 0.750, 0.370], [0.687, 0.750, 0.130], [0.673, 0.250, 0.504], [0.789, 0.250, 0.781], [0.827, 0.750, 0.004], [0.289, 0.250, 0.719], [0.173, 0.250, 0.996], [0.211, 0.750, 0.219], [0.955, 0.750, 0.609], [0.545, 0.250, 0.109], [0.711, 0.750, 0.281], [0.327, 0.750, 0.496], [0.045, 0.250, 0.391], [0.455, 0.750, 0.891], [0.659, 0.250, 0.940], [0.159, 0.250, 0.560], [0.341, 0.750, 0.060], [0.841, 0.750, 0.440], [0.555, 0.750, 0.676], [0.945, 0.250, 0.176], [0.445, 0.250, 0.324], [0.055, 0.750, 0.824]]}


{"formula": "RbCuSnTe3", "functional": "PBE", "state": "relaxed", "vol_a3_per_cell": 399.62, "space_group": "No. 63", "relative_energy_ev_per_atom": 0.036, "cell": [[-1.314, 0.415, 3.892], [2.046, -11.395, 1.905], [8.344, 1.575, 0.459]], "species": ["Cu", "Cu", "Sn", "Sn", "Te", "Te", "Te", "Te", "Te", "Te", "Rb", "Rb"], "frac_coords": [[0.549, 0.000, 0.098], [0.451, 0.500, 0.902], [0.000, 0.750, 0.000], [0.000, 0.250, 0.000], [0.626, 0.196, 0.253], [0.374, 0.304, 0.747], [0.374, 0.696, 0.747], [0.948, 0.000, 0.896], [0.626, 0.804, 0.253], [0.052, 0.500, 0.104], [0.743, 0.500, 0.486], [0.257, 0.000, 0.514]]}